(1)
The following is a DFT calculation (PBE-GGA) of an optimized crystal structure of LiMg2Re.

Geometry as POSCAR:
```
LiMg2Re
1.0
2.7187 0.0000 0.0000
0.0000 4.3239 0.0000
-0.9656 0.0000 5.7888
Li Mg Re
1 2 1
direct
0.0000 0.0000 0.0000 Li
0.4509 0.5000 0.2637 Mg
0.5491 0.5000 0.7363 Mg
0.0000 0.0000 0.5000 Re
```

Values from the calculation:
Energy relative to the elements (meV per atom): 303
Relative energy among the computed polymorphs (meV per atom): 122

(2)
The following is a DFT calculation (PBE-GGA) of an optimized crystal structure of CdTeRu2.

Geometry as POSCAR:
```
CdTeRu2
1.0
7.2826 0.0000 0.0000
0.0000 7.2826 0.0000
0.0000 0.0000 5.9024
Cd Te Ru
4 4 8
direct
0.0000 0.0000 0.0000 Cd
0.0000 0.5000 0.2500 Cd
0.5000 0.0000 0.7500 Cd
0.5000 0.5000 0.5000 Cd
0.0000 0.0000 0.5000 Te
0.0000 0.5000 0.7500 Te
0.5000 0.0000 0.2500 Te
0.5000 0.5000 0.0000 Te
0.2113 0.7500 0.6250 Ru
0.2500 0.2113 0.3750 Ru
0.2500 0.2887 0.8750 Ru
0.2887 0.7500 0.1250 Ru
0.7113 0.2500 0.1250 Ru
0.7500 0.7113 0.8750 Ru
0.7500 0.7887 0.3750 Ru
0.7887 0.2500 0.6250 Ru
```

Values from the calculation:
Relative energy among the computed polymorphs (meV per atom): 417
ΔE_f (raw) (kJ per mole of atoms): 64

(3)
The following is a DFT calculation (PBE-GGA) of an optimized crystal structure of SiSeSBr2.

Geometry as POSCAR:
```
SiSeSBr2
1.0
4.8992 0.0000 0.0000
0.0000 4.8992 0.0000
0.0000 0.0000 5.2265
Si Se S Br
1 1 1 2
direct
0.0000 0.0000 0.0000 Si
0.0000 0.0000 0.5000 Se
0.5000 0.5000 0.5000 S
0.0000 0.5000 0.0000 Br
0.5000 0.0000 0.0000 Br
```

Values from the calculation:
Relative energy among the computed polymorphs (meV per atom): 0
ΔE_f (raw) (kJ per mole of atoms): 51

(4)
The following is a DFT calculation (PBE-GGA) of an optimized crystal structure of Ca2NpScSb4.

Geometry as POSCAR:
```
Ca2NpScSb4
1.0
7.5235 0.0000 0.0000
0.0000 4.4188 0.0000
-2.5491 0.0000 7.2634
Ca Np Sc Sb
2 1 1 4
direct
0.0000 0.0000 0.0000 Ca
0.5000 0.5000 0.0000 Ca
0.0000 0.5000 0.5000 Np
0.5000 0.0000 0.5000 Sc
0.2492 0.0000 0.7301 Sb
0.2622 0.5000 0.2744 Sb
0.7378 0.5000 0.7256 Sb
0.7508 0.0000 0.2699 Sb
```

Values from the calculation:
ΔE_f (raw) (kJ per mole of atoms): -67

(5)
The following is a DFT calculation (PBE-GGA) of an optimized crystal structure of La2NpPbO8.

Geometry as POSCAR:
```
La2NpPbO8
1.0
4.0850 0.0000 0.0000
0.0000 7.8563 0.0000
-0.5503 0.0000 5.5381
La Np Pb O
2 1 1 8
direct
0.0000 0.2472 0.0000 La
0.0000 0.7528 0.0000 La
0.5000 0.0000 0.5000 Np
0.5000 0.5000 0.5000 Pb
0.0298 0.5000 0.2525 O
0.0651 0.0000 0.2825 O
0.4568 0.2065 0.7314 O
0.4568 0.7935 0.7314 O
0.5432 0.2065 0.2686 O
0.5432 0.7935 0.2686 O
0.9349 0.0000 0.7175 O
0.9702 0.5000 0.7475 O
```

Values from the calculation:
ΔE_f (raw) (kJ per mole of atoms): -250

(6)
The following is a DFT calculation (PBE-GGA) of an optimized crystal structure of Ac2BiCl.

Geometry as POSCAR:
```
Ac2BiCl
1.0
8.0631 0.0000 0.0000
0.0000 8.0631 0.0000
0.0000 0.0000 8.0631
Ac Bi Cl
8 4 4
direct
0.2500 0.2500 0.2500 Ac
0.2500 0.2500 0.7500 Ac
0.2500 0.7500 0.2500 Ac
0.2500 0.7500 0.7500 Ac
0.7500 0.2500 0.2500 Ac
0.7500 0.2500 0.7500 Ac
0.7500 0.7500 0.2500 Ac
0.7500 0.7500 0.7500 Ac
0.0000 0.0000 0.0000 Bi
0.0000 0.5000 0.5000 Bi
0.5000 0.0000 0.5000 Bi
0.5000 0.5000 0.0000 Bi
0.0000 0.0000 0.5000 Cl
0.0000 0.5000 0.0000 Cl
0.5000 0.0000 0.0000 Cl
0.5000 0.5000 0.5000 Cl
```

Values from the calculation:
Relative energy among the computed polymorphs (meV per atom): 0
ΔE_f (raw) (kJ per mole of atoms): -107

(7)
The following is a DFT calculation (PBE-GGA) of an optimized crystal structure of Si3AuO.

Geometry as POSCAR:
```
Si3AuO
1.0
4.2136 0.0000 0.0000
0.0000 4.2136 0.0000
0.0000 0.0000 4.2136
Si Au O
3 1 1
direct
0.0000 0.0000 0.5000 Si
0.0000 0.5000 0.0000 Si
0.5000 0.0000 0.0000 Si
0.5000 0.5000 0.5000 Au
0.0000 0.0000 0.0000 O
```

Values from the calculation:
Relative energy among the computed polymorphs (meV per atom): 0
ΔE_f (raw) (kJ per mole of atoms): 19

(8)
The following is a DFT calculation (PBE-GGA) of an optimized crystal structure of TbPuMgO6.

Geometry as POSCAR:
```
TbPuMgO6
1.0
5.3631 0.0000 0.0000
-2.6815 4.6446 0.0000
0.0000 0.0000 9.8412
Tb Pu Mg O
2 2 2 12
direct
0.0000 0.0000 0.0000 Tb
0.0000 0.0000 0.5000 Tb
0.3333 0.6667 0.2500 Pu
0.6667 0.3333 0.7500 Pu
0.3333 0.6667 0.7500 Mg
0.6667 0.3333 0.2500 Mg
0.0137 0.3580 0.1377 O
0.0137 0.6557 0.3623 O
0.3443 0.3580 0.3623 O
0.3443 0.9863 0.1377 O
0.3580 0.0137 0.6377 O
0.3580 0.3443 0.8623 O
0.6420 0.6557 0.1377 O
0.6420 0.9863 0.3623 O
0.6557 0.0137 0.8623 O
0.6557 0.6420 0.6377 O
0.9863 0.3443 0.6377 O
0.9863 0.6420 0.8623 O
```

Values from the calculation:
ΔE_f (raw) (kJ per mole of atoms): -266

(9)
The following is a DFT calculation (PBE-GGA) of an optimized crystal structure of PaTcPt.

Geometry as POSCAR:
```
PaTcPt
1.0
4.0283 0.0000 0.0000
0.0000 9.8094 0.0000
0.0000 0.0000 5.8910
Pa Tc Pt
4 4 4
direct
0.0000 0.1578 0.2500 Pa
0.0000 0.8422 0.7500 Pa
0.5000 0.3422 0.7500 Pa
0.5000 0.6578 0.2500 Pa
0.0000 0.5000 0.0000 Tc
0.0000 0.5000 0.5000 Tc
0.5000 0.0000 0.0000 Tc
0.5000 0.0000 0.5000 Tc
0.0000 0.1318 0.7500 Pt
0.0000 0.8682 0.2500 Pt
0.5000 0.3682 0.2500 Pt
0.5000 0.6318 0.7500 Pt
```

Values from the calculation:
Energy relative to the elements (meV per atom): -536
Relative energy among the computed polymorphs (meV per atom): 0

(10)
The following is a DFT calculation (PBE-GGA) of an optimized crystal structure of FeTc4Os.

Geometry as POSCAR:
```
FeTc4Os
1.0
0.0000 3.5576 3.5576
3.5576 0.0000 3.5576
3.5576 3.5576 0.0000
Fe Tc Os
1 4 1
direct
0.0000 0.0000 0.0000 Fe
0.3743 0.3743 0.3743 Tc
0.3743 0.3743 0.8770 Tc
0.3743 0.8770 0.3743 Tc
0.8770 0.3743 0.3743 Tc
0.7500 0.7500 0.7500 Os
```

Values from the calculation:
Energy relative to the elements (meV per atom): 449

(11)
The following is a DFT calculation (PBE-GGA) of an optimized crystal structure of Pm2MgO.

Geometry as POSCAR:
```
Pm2MgO
1.0
3.6515 0.0000 0.0000
-1.8257 3.1623 0.0000
0.0000 0.0000 24.6938
Pm Mg O
6 3 3
direct
0.0000 0.0000 0.2214 Pm
0.0000 0.0000 0.7786 Pm
0.3333 0.6667 0.4453 Pm
0.3333 0.6667 0.8881 Pm
0.6667 0.3333 0.1119 Pm
0.6667 0.3333 0.5547 Pm
0.0000 0.0000 0.0000 Mg
0.3333 0.6667 0.6667 Mg
0.6667 0.3333 0.3333 Mg
0.0000 0.0000 0.5000 O
0.3333 0.6667 0.1667 O
0.6667 0.3333 0.8333 O
```

Values from the calculation:
ΔE_f (raw) (kJ per mole of atoms): -126

(12)
The following is a DFT calculation (PBE-GGA) of an optimized crystal structure of ReSn3C.

Geometry as POSCAR:
```
ReSn3C
1.0
5.1682 0.0000 0.0000
0.0000 5.1682 0.0000
0.0000 0.0000 5.1682
Re Sn C
1 3 1
direct
0.0000 0.0000 0.0000 Re
0.0000 0.0000 0.5000 Sn
0.0000 0.5000 0.0000 Sn
0.5000 0.0000 0.0000 Sn
0.5000 0.5000 0.5000 C
```

Values from the calculation:
Energy relative to the elements (meV per atom): 1431

(13)
The following is a DFT calculation (PBE-GGA) of an optimized crystal structure of LiMgCl2.

Geometry as POSCAR:
```
LiMgCl2
1.0
12.7512 0.0000 0.0000
0.0000 3.8490 0.0000
-1.1494 0.0000 3.6856
Li Mg Cl
2 2 4
direct
0.0000 0.0000 0.0000 Li
0.5000 0.5000 0.0000 Li
0.2712 0.0000 0.2103 Mg
0.7712 0.5000 0.2103 Mg
0.2910 0.5000 0.7331 Cl
0.4770 0.0000 0.4102 Cl
0.7910 0.0000 0.7331 Cl
0.9770 0.5000 0.4102 Cl
```

Values from the calculation:
Relative energy among the computed polymorphs (meV per atom): 76
ΔE_f (raw) (kJ per mole of atoms): -118

(14)
The following is a DFT calculation (PBE-GGA) of an optimized crystal structure of AcSmAs.

Geometry as POSCAR:
```
AcSmAs
1.0
7.2726 0.0000 0.0000
0.0000 7.2726 0.0000
0.0000 0.0000 7.2726
Ac Sm As
4 4 4
direct
0.0000 0.0000 0.0000 Ac
0.0000 0.5000 0.5000 Ac
0.5000 0.0000 0.5000 Ac
0.5000 0.5000 0.0000 Ac
0.0000 0.0000 0.5000 Sm
0.0000 0.5000 0.0000 Sm
0.5000 0.0000 0.0000 Sm
0.5000 0.5000 0.5000 Sm
0.2500 0.2500 0.2500 As
0.2500 0.7500 0.7500 As
0.7500 0.2500 0.7500 As
0.7500 0.7500 0.2500 As
```

Values from the calculation:
Energy relative to the elements (meV per atom): -704
Relative energy among the computed polymorphs (meV per atom): 20

(15)
The following is a DFT calculation (PBE-GGA) of an optimized crystal structure of HfCuAg2.

Geometry as POSCAR:
```
HfCuAg2
1.0
7.4759 0.0000 0.0000
0.0000 7.4759 0.0000
0.0000 0.0000 5.3938
Hf Cu Ag
4 4 8
direct
0.0000 0.0000 0.0000 Hf
0.0000 0.5000 0.2500 Hf
0.5000 0.0000 0.7500 Hf
0.5000 0.5000 0.5000 Hf
0.0000 0.0000 0.5000 Cu
0.0000 0.5000 0.7500 Cu
0.5000 0.0000 0.2500 Cu
0.5000 0.5000 0.0000 Cu
0.2149 0.2500 0.6250 Ag
0.2500 0.7149 0.8750 Ag
0.2500 0.7851 0.3750 Ag
0.2851 0.2500 0.1250 Ag
0.7149 0.7500 0.1250 Ag
0.7500 0.2149 0.3750 Ag
0.7500 0.2851 0.8750 Ag
0.7851 0.7500 0.6250 Ag
```

Values from the calculation:
Energy relative to the elements (meV per atom): 398
Relative energy among the computed polymorphs (meV per atom): 302

(16)
The following is a DFT calculation (PBE-GGA) of an optimized crystal structure of AlTl2F5.

Geometry as POSCAR:
```
AlTl2F5
1.0
6.3597 0.0000 0.0000
0.0000 6.3597 0.0000
0.0000 0.0000 3.7861
Al Tl F
1 2 5
direct
0.0000 0.0000 0.0000 Al
0.0000 0.5000 0.5000 Tl
0.5000 0.0000 0.5000 Tl
0.0000 0.0000 0.5000 F
0.2021 0.2021 0.0000 F
0.2021 0.7979 0.0000 F
0.7979 0.2021 0.0000 F
0.7979 0.7979 0.0000 F
```

Values from the calculation:
Relative energy among the computed polymorphs (meV per atom): 0
ΔE_f (raw) (kJ per mole of atoms): -261

(17)
The following is a DFT calculation (PBE-GGA) of an optimized crystal structure of ZrAg2Hg.

Geometry as POSCAR:
```
ZrAg2Hg
1.0
4.9550 0.0000 0.0000
0.0000 4.9550 0.0000
0.0000 0.0000 3.3144
Zr Ag Hg
1 2 1
direct
0.0000 0.0000 0.0000 Zr
0.0000 0.5000 0.5000 Ag
0.5000 0.0000 0.5000 Ag
0.5000 0.5000 0.0000 Hg
```

Values from the calculation:
Energy relative to the elements (meV per atom): 140

(18)
The following is a DFT calculation (PBE-GGA) of an optimized crystal structure of PmInAg.

Geometry as POSCAR:
```
PmInAg
1.0
10.9442 0.0000 0.0000
0.0000 4.8291 0.0000
-4.8465 0.0000 5.7260
Pm In Ag
4 4 4
direct
0.0353 0.0000 0.2944 Pm
0.4647 0.5000 0.7056 Pm
0.5353 0.5000 0.2944 Pm
0.9647 0.0000 0.7056 Pm
0.1671 0.5000 0.1167 In
0.3329 0.0000 0.8833 In
0.6671 0.0000 0.1167 In
0.8329 0.5000 0.8833 In
0.1634 0.5000 0.7038 Ag
0.3366 0.0000 0.2962 Ag
0.6634 0.0000 0.7038 Ag
0.8366 0.5000 0.2962 Ag
```

Values from the calculation:
Energy relative to the elements (meV per atom): -390
Relative energy among the computed polymorphs (meV per atom): 25

(19)
The following is a DFT calculation (PBE-GGA) of an optimized crystal structure of GaHRh3.

Geometry as POSCAR:
```
GaHRh3
1.0
4.5887 0.0000 0.0000
0.0000 4.5887 0.0000
0.0000 0.0000 4.5887
Ga H Rh
1 1 3
direct
0.0000 0.0000 0.0000 Ga
0.5000 0.5000 0.5000 H
0.0000 0.0000 0.5000 Rh
0.0000 0.5000 0.0000 Rh
0.5000 0.0000 0.0000 Rh
```

Values from the calculation:
Relative energy among the computed polymorphs (meV per atom): 1710

(20)
The following is a DFT calculation (PBE-GGA) of an optimized crystal structure of V2Tc2N.

Geometry as POSCAR:
```
V2Tc2N
1.0
3.0682 0.0000 0.0000
0.0000 3.0682 0.0000
0.0000 0.0000 13.9377
V Tc N
4 4 2
direct
0.0000 0.5000 0.2500 V
0.0000 0.5000 0.7500 V
0.5000 0.0000 0.2500 V
0.5000 0.0000 0.7500 V
0.0000 0.0000 0.0896 Tc
0.0000 0.0000 0.9104 Tc
0.5000 0.5000 0.4104 Tc
0.5000 0.5000 0.5896 Tc
0.0000 0.0000 0.5000 N
0.5000 0.5000 0.0000 N
```

Values from the calculation:
Relative energy among the computed polymorphs (meV per atom): 846
ΔE_f (raw) (kJ per mole of atoms): 102

(21)
The following is a DFT calculation (PBE-GGA) of an optimized crystal structure of Pm3TlSi2.

Geometry as POSCAR:
```
Pm3TlSi2
1.0
3.9481 2.2795 6.3763
-3.9481 2.2795 6.3763
0.0000 -4.5589 6.3763
Pm Tl Si
6 2 4
direct
0.0455 0.7500 0.4545 Pm
0.2500 0.5455 0.9545 Pm
0.4545 0.0455 0.7500 Pm
0.5455 0.9545 0.2500 Pm
0.7500 0.4545 0.0455 Pm
0.9545 0.2500 0.5455 Pm
0.0000 0.0000 0.0000 Tl
0.5000 0.5000 0.5000 Tl
0.1522 0.1522 0.1522 Si
0.3478 0.3478 0.3478 Si
0.6522 0.6522 0.6522 Si
0.8478 0.8478 0.8478 Si
```

Values from the calculation:
ΔE_f (raw) (kJ per mole of atoms): -39

(22)
The following is a DFT calculation (PBE-GGA) of an optimized crystal structure of LiAlP2.

Geometry as POSCAR:
```
LiAlP2
1.0
3.5792 0.0000 0.0000
0.0000 4.7862 0.0000
0.0000 0.0000 7.3090
Li Al P
2 2 4
direct
0.0000 0.0000 0.0000 Li
0.5000 0.5000 0.0000 Li
0.0000 0.0000 0.5000 Al
0.5000 0.5000 0.5000 Al
0.0000 0.5000 0.2658 P
0.0000 0.5000 0.7342 P
0.5000 0.0000 0.2658 P
0.5000 0.0000 0.7342 P
```

Values from the calculation:
Energy relative to the elements (meV per atom): -64

(23)
The following is a DFT calculation (PBE-GGA) of an optimized crystal structure of BeZnTe.

Geometry as POSCAR:
```
BeZnTe
1.0
6.5020 0.0000 0.0000
0.0000 6.5020 0.0000
0.0000 0.0000 6.5020
Be Zn Te
4 4 4
direct
0.0000 0.0000 0.0000 Be
0.0000 0.5000 0.5000 Be
0.5000 0.0000 0.5000 Be
0.5000 0.5000 0.0000 Be
0.0000 0.0000 0.5000 Zn
0.0000 0.5000 0.0000 Zn
0.5000 0.0000 0.0000 Zn
0.5000 0.5000 0.5000 Zn
0.2500 0.2500 0.7500 Te
0.2500 0.7500 0.2500 Te
0.7500 0.2500 0.2500 Te
0.7500 0.7500 0.7500 Te
```

Values from the calculation:
Relative energy among the computed polymorphs (meV per atom): 551
ΔE_f (raw) (kJ per mole of atoms): 58

(24)
The following is a DFT calculation (PBE-GGA) of an optimized crystal structure of TmMgZr.

Geometry as POSCAR:
```
TmMgZr
1.0
6.2993 0.0000 0.0000
0.0000 6.3647 0.0000
-1.6059 0.0000 7.5725
Tm Mg Zr
4 4 4
direct
0.1736 0.0000 0.1906 Tm
0.3264 0.5000 0.8094 Tm
0.6736 0.5000 0.1906 Tm
0.8264 0.0000 0.8094 Tm
0.0000 0.2501 0.5000 Mg
0.0000 0.7499 0.5000 Mg
0.5000 0.2499 0.5000 Mg
0.5000 0.7501 0.5000 Mg
0.1635 0.5000 0.1712 Zr
0.3365 0.0000 0.8288 Zr
0.6635 0.0000 0.1712 Zr
0.8365 0.5000 0.8288 Zr
```

Values from the calculation:
Energy relative to the elements (meV per atom): 249
Relative energy among the computed polymorphs (meV per atom): 264

(25)
The following is a DFT calculation (PBE-GGA) of an optimized crystal structure of PrSmEuHg.

Geometry as POSCAR:
```
PrSmEuHg
1.0
7.8954 0.0000 0.0000
0.0000 7.8954 0.0000
0.0000 0.0000 7.8954
Pr Sm Eu Hg
4 4 4 4
direct
0.0000 0.0000 0.0000 Pr
0.0000 0.5000 0.5000 Pr
0.5000 0.0000 0.5000 Pr
0.5000 0.5000 0.0000 Pr
0.0000 0.0000 0.5000 Sm
0.0000 0.5000 0.0000 Sm
0.5000 0.0000 0.0000 Sm
0.5000 0.5000 0.5000 Sm
0.2500 0.2500 0.7500 Eu
0.2500 0.7500 0.2500 Eu
0.7500 0.2500 0.2500 Eu
0.7500 0.7500 0.7500 Eu
0.2500 0.2500 0.2500 Hg
0.2500 0.7500 0.7500 Hg
0.7500 0.2500 0.7500 Hg
0.7500 0.7500 0.2500 Hg
```

Values from the calculation:
Energy relative to the elements (meV per atom): -79

(26)
The following is a DFT calculation (PBE-GGA) of an optimized crystal structure of SrLi4Tl4.

Geometry as POSCAR:
```
SrLi4Tl4
1.0
-4.7358 4.7358 2.6115
4.7358 -4.7358 2.6115
4.7358 4.7358 -2.6115
Sr Li Tl
1 4 4
direct
0.0000 0.0000 0.0000 Sr
0.2478 0.3584 0.6062 Li
0.3584 0.7522 0.1106 Li
0.6416 0.2478 0.8894 Li
0.7522 0.6416 0.3938 Li
0.0825 0.6440 0.7265 Tl
0.3560 0.0825 0.4385 Tl
0.6440 0.9175 0.5615 Tl
0.9175 0.3560 0.2735 Tl
```

Values from the calculation:
Energy relative to the elements (meV per atom): -178

E_tot for the records above, in order: -4.084 -4.988 -2.745 -5.664 -8.105 -4.591 -4.701 -8.343 -9.170 -9.744 -5.315 -5.305 -3.019 -5.197 -4.540 -4.939 -3.498 -3.837 -4.269 -8.403 -4.985 -4.183 -2.110 -4.622 -5.097 -2.267 eV/atom
Calculated volume for the records above, in order: 68.05 313.04 125.45 241.47 177.74 524.21 74.81 245.14 232.78 90.05 285.14 138.04 180.89 384.65 301.46 153.13 81.38 302.62 96.62 131.21 344.30 125.21 274.87 303.61 492.18 234.29 Å³ per cell